Compound: Ba2BiH
Source: the Alexandria database
Functional: PBE
Structure: relaxed

Cell and atoms, written as POSCAR:
```
Ba2BiH
1.0
-0.2130 -0.5831 4.4479
-2.8543 -6.7735 -3.2919
7.3306 -3.0644 -0.0507
Ba Bi H
4 2 2
direct
0.3691 0.7382 0.9914
0.6309 0.2618 0.0086
0.3691 0.7382 0.5086
0.6309 0.2618 0.4914
0.9921 0.9843 0.2500
0.0079 0.0157 0.7500
0.2401 0.4801 0.2500
0.7599 0.5199 0.7500
```

**N(E_F)**: 0.404 states/eV per atom
**Energy relative to the lowest polymorph listed for this composition**: 285.2 meV/atom
**Mass density**: 5.832 g/cm3